# Zn2BiWO (PBE+U, optimized geometry)
# **Total DFT energy (no corrections)**: -2.27 eV/atom
# **Total magnetization**: 5.38 Bohr magnetons per cell
data_Zn2BiWO
_chemical_formula_sum 'Zn2 Bi1 W1 O1'
_cell_length_a 5.503
_cell_length_b 5.503
_cell_length_c 5.845
_cell_angle_alpha 90.00
_cell_angle_beta 90.00
_cell_angle_gamma 90.00
_space_group_name_H-M_alt 'P 4/m m m'
_space_group_IT_number 123
_space_group_name_Hall '-P 4 2'
loop_
_atom_site_label
_atom_site_type_symbol
_atom_site_fract_x
_atom_site_fract_y
_atom_site_fract_z
_atom_site_occupancy
Zn1 Zn 0.000 0.500 0.000 1
Bi1 Bi 0.000 0.000 0.000 1
W1 W 0.000 0.000 0.500 1
O1 O 0.500 0.500 0.500 1